Entry 1:
VASP calculation (PBE-GGA) on a relaxed structure of Te2AsRu.

Values from the calculation:
E_form (uncorrected)   259 meV per atom

a b c (Å): 8.920 8.920 8.920
angles (deg): 24.61 24.61 24.61
Atoms (fractional coordinates):
Te1 0.110 0.110 0.110
Te2 0.890 0.890 0.890
As1 0.000 0.000 0.000
Ru1 0.500 0.500 0.500

=====

Entry 2:
VASP calculation (PBE-GGA) on a relaxed structure of ZrScTi.

Values from the calculation:
E_form   0.21 eV/f.u.
Relative energy among the computed polymorphs   5 kJ/mol of formula units

a b c (Å): 4.960 3.401 7.991
angles (deg): 90.00 105.58 90.00
Atoms (fractional coordinates):
Zr1 0.108 0.250 0.170
Zr2 0.892 0.750 0.830
Sc1 0.271 0.750 0.549
Sc2 0.729 0.250 0.451
Ti1 0.403 0.250 0.874
Ti2 0.597 0.750 0.126

=====

Entry 3:
VASP calculation (PBE-GGA) on a relaxed structure of Sc3GaN.

Values from the calculation:
E_form (uncorrected)   -977 meV per atom

a b c (Å): 6.429 3.362 8.329
angles (deg): 90.00 100.91 90.00
Atoms (fractional coordinates):
Sc1 0.071 0.250 0.366
Sc2 0.228 0.250 0.913
Sc3 0.389 0.750 0.642
Sc4 0.611 0.250 0.358
Sc5 0.772 0.750 0.087
Sc6 0.929 0.750 0.634
Ga1 0.296 0.750 0.185
Ga2 0.704 0.250 0.815
N1 0.162 0.250 0.636
N2 0.838 0.750 0.364